(1)
Compound: CaSi3Ni6
Source: the Alexandria database
Functional: PBE
Structure: relaxed

Values from the calculation:
- E (eV/cell) = -113.71
- SG = P2_1/c (14)

abc: 6.2441 6.2076 6.9109
angles: 106.86 90.00 90.00
Fractional coordinates of all 20 atoms:
Ni1 0.7006 0.5993 0.8595
Ni2 0.0597 0.5446 0.6833
Ni3 0.7994 0.0993 0.3595
Ni4 0.9403 0.4554 0.3167
Ni5 0.4403 0.0446 0.1833
Ni6 0.5597 0.9554 0.8167
Ni7 0.3403 0.2869 0.7707
Ni8 0.2994 0.4007 0.1405
Ni9 0.6597 0.7131 0.2293
Ni10 0.1597 0.7869 0.2707
Ni11 0.2006 0.9007 0.6405
Ni12 0.8403 0.2131 0.7293
Si1 0.6438 0.3094 0.0534
Si2 0.8562 0.8094 0.5534
Si3 0.5000 0.0000 0.5000
Si4 0.0000 0.5000 0.0000
Si5 0.3562 0.6906 0.9466
Si6 0.1438 0.1906 0.4466
Ca1 0.5000 0.5000 0.5000
Ca2 0.0000 0.0000 0.0000

(2)
Compound: CaSiNi
Source: the Alexandria database
Functional: PBE
Structure: relaxed

Values from the calculation:
- E (eV/cell) = -14.16
- SG = Imm2 (44)

abc: 5.7067 5.7067 5.7067
angles: 147.53 148.20 46.09
Fractional coordinates of all 3 atoms:
Ni1 0.2894 0.2894 0.0000
Ca1 0.0015 0.0015 0.0000
Si1 0.7091 0.7091 0.0000

(3)
Compound: Ca2Si4Ni5
Source: the Alexandria database
Functional: PBE
Structure: relaxed

Values from the calculation:
- E (eV/cell) = -60.89
- SG = Fmmm (69)

abc: 5.2411 5.3386 7.3737
angles: 79.95 69.18 60.60
Fractional coordinates of all 11 atoms:
Si1 0.7888 0.6768 0.7457
Si2 0.4655 0.3232 0.7457
Si3 0.5345 0.6768 0.2543
Si4 0.2112 0.3232 0.2543
Ni1 0.7500 0.5000 0.5000
Ni2 0.0000 0.5000 0.0000
Ni3 0.5000 0.0000 0.0000
Ni4 0.2500 0.5000 0.5000
Ni5 0.5000 0.5000 0.0000
Ca1 0.1357 0.0000 0.7286
Ca2 0.8643 0.0000 0.2714

(4)
Compound: Ca2Si3Ni
Source: the Alexandria database
Functional: PBE
Structure: relaxed

Values from the calculation:
- E (eV/cell) = -28.47
- SG = P-6m2 (187)

abc: 3.9855 3.9855 8.7989
angles: 90.00 90.00 120.00
Fractional coordinates of all 6 atoms:
Ni1 0.6667 0.3333 0.0000
Si1 0.0000 0.0000 0.5000
Si2 0.6667 0.3333 0.5000
Si3 0.0000 0.0000 0.0000
Ca1 0.3333 0.6667 0.7663
Ca2 0.3333 0.6667 0.2337

(5)
Compound: Ca2Si2Ni
Source: the Alexandria database
Functional: PBE
Structure: relaxed

Values from the calculation:
- E (eV/cell) = -45.23
- SG = P4/mbm (127)

abc: 6.4469 6.4469 4.6830
angles: 90.00 90.00 90.00
Fractional coordinates of all 10 atoms:
Ca1 0.3292 0.1708 0.5000
Ca2 0.8292 0.3292 0.5000
Ca3 0.1708 0.6708 0.5000
Ca4 0.6708 0.8292 0.5000
Si1 0.8615 0.6385 0.0000
Si2 0.6385 0.1385 0.0000
Si3 0.3615 0.8615 0.0000
Si4 0.1385 0.3615 0.0000
Ni1 0.0000 0.0000 0.0000
Ni2 0.5000 0.5000 0.0000

(6)
Compound: Ca2SiNi2
Source: the Alexandria database
Functional: PBE
Structure: relaxed

Values from the calculation:
- E (eV/cell) = -21.54
- SG = I4/mmm (139)

abc: 5.1770 5.1770 5.1770
angles: 115.90 115.90 97.26
Fractional coordinates of all 5 atoms:
Ni1 0.3250 0.3250 0.0000
Ni2 0.6750 0.6750 0.0000
Ca1 0.7500 0.2500 0.5000
Ca2 0.2500 0.7500 0.5000
Si1 0.0000 0.0000 0.0000

(7)
Compound: CaSi3Ni
Source: the Alexandria database
Functional: PBE
Structure: relaxed

Values from the calculation:
- E (eV/cell) = -23.59
- SG = Pm-3m (221)

abc: 4.5476 4.5476 4.5476
angles: 90.00 90.00 90.00
Fractional coordinates of all 5 atoms:
Si1 0.0000 0.0000 0.5000
Si2 0.0000 0.5000 0.0000
Si3 0.5000 0.0000 0.0000
Ca1 0.5000 0.5000 0.5000
Ni1 0.0000 0.0000 0.0000

(8)
Compound: CaSi3Ni2
Source: the Alexandria database
Functional: PBE
Structure: relaxed

Values from the calculation:
- E (eV/cell) = -65.56
- SG = Cmcm (63)
- E above lowest polymorph (meV per atom) = 29

abc: 4.9614 6.1421 6.1421
angles: 105.03 90.00 90.00
Fractional coordinates of all 12 atoms:
Si1 0.7500 0.0880 0.4746
Si2 0.2500 0.9120 0.5254
Si3 0.7500 0.4746 0.0880
Si4 0.2500 0.5254 0.9120
Si5 0.2500 0.9223 0.9223
Si6 0.7500 0.0777 0.0777
Ni1 0.0000 0.8040 0.1960
Ni2 0.0000 0.1960 0.8040
Ni3 0.5000 0.8040 0.1960
Ni4 0.5000 0.1960 0.8040
Ca1 0.7500 0.6585 0.6585
Ca2 0.2500 0.3415 0.3415